A geometry-optimized Y2Ni3P4Ru structure, computed with GGA-PBE.

As for the formation energy: -970 meV per atom.

It has space group P-4m2 (No. 115), with a = 3.982 Å, b = 3.982 Å, c = 9.317 Å, α = 90.00°, β = 90.00° and γ = 90.00°. The distinct sites, in fractional coordinates, are Y at (0.000, 0.500, 0.240), Ni at (0.000, 0.500, 0.883), Ni at (0.500, 0.500, 0.500), P at (0.000, 0.000, 0.000), P at (0.000, 0.500, 0.639), P at (0.500, 0.500, 0.000) and Ru at (0.000, 0.000, 0.500).



A geometry-optimized NiP3S structure, computed with GGA-PBE.

For the formation energy without anion corrections, the calculation gives 1.18 eV/atom. The energy relative to the lowest polymorph listed for this composition comes out at 387 meV per atom.

It has space group Pm-3m (No. 221), with a = 4.413 Å, b = 4.413 Å, c = 4.413 Å, α = 90.00°, β = 90.00° and γ = 90.00°. The distinct sites, in fractional coordinates, are Ni at (0.000, 0.000, 0.000), P at (0.000, 0.500, 0.500) and S at (0.500, 0.500, 0.500).



A geometry-optimized Ni5P2S structure, computed with GGA-PBE.

For the formation energy without anion corrections, the calculation gives -0.41 eV/atom.

It has space group Pnma (No. 62), with a = 7.398 Å, b = 3.668 Å, c = 15.554 Å, α = 90.00°, β = 90.00° and γ = 90.00°. The distinct sites, in fractional coordinates, are Ni at (0.116, 0.250, 0.168), Ni at (0.124, 0.250, 0.002), Ni at (0.125, 0.250, 0.503), Ni at (0.126, 0.250, 0.834), Ni at (0.131, 0.250, 0.332), P at (0.124, 0.750, 0.250), P at (0.129, 0.750, 0.918) and S at (0.125, 0.750, 0.589).



A geometry-optimized NiP3S structure, computed with GGA-PBE.

For the formation energy without anion corrections, the calculation gives 0.79 eV/atom. The energy relative to the lowest polymorph listed for this composition comes out at 0 meV per atom.

It has space group Pm-3m (No. 221), with a = 4.388 Å, b = 4.388 Å, c = 4.388 Å, α = 90.00°, β = 90.00° and γ = 90.00°. The distinct sites, in fractional coordinates, are Ni at (0.000, 0.000, 0.000), P at (0.000, 0.000, 0.500) and S at (0.500, 0.500, 0.500).



| no. | calculated total energy (eV/atom) |
| --- | --- |
| 1 | -7.09 |
| 2 | -4.05 |
| 3 | -5.89 |
| 4 | -4.44 |